Here is a relaxed AgPtAu2 crystal from Alexandria via LeMat-Bulk. Energies are from PBEsol.

a = 2.7854 Å, b = 2.7854 Å, c = 9.6127 Å
α = 90.00°, β = 90.00°, γ = 118.72°
Last column: nearest neighbours and their distance in Å.
Atoms (fractional coordinates):
Ag1 0.0000 0.0000 0.0000  6 Ag 2.79-2.84, 4 Au 2.80
Pt1 0.0000 0.0000 0.5000  4 Au 2.78, 6 Pt 2.79-2.84
Au1 0.5000 0.5000 0.2509  2 Pt 2.78, 6 Au 2.79-2.84, 2 Ag 2.80
Au2 0.5000 0.5000 0.7491  2 Pt 2.78, 6 Au 2.79-2.84, 2 Ag 2.80

Computed properties:
Excess energy over the best structure of this formula in the dataset   13 kJ/mol of formula units
SG   No. 65
Final energy   -4.51 eV/atom
Energy relative to the elements   0.07 eV per formula unit
Fermi-level density of states   1.29 states/eV/f.u.

---

Here is a relaxed AgPtAu crystal from Alexandria via LeMat-Bulk. Energies are from PBEsol.

a = 2.7981 Å, b = 2.7981 Å, c = 7.0663 Å
α = 90.00°, β = 90.00°, γ = 120.00°
Last column: nearest neighbours and their distance in Å.
Atoms (fractional coordinates):
Ag1 0.0000 0.0000 0.0000  6 Ag 2.80, 3 Pt 2.83, 3 Au 2.87
Pt1 0.6667 0.3333 0.3281  6 Pt 2.80, 3 Ag 2.83, 3 Au 2.87
Au1 0.3333 0.6667 0.6643  6 Au 2.80, 3 Ag 2.87, 3 Pt 2.87

Computed properties:
Excess energy over the best structure of this formula in the dataset   0 kJ/mol of formula units
SG   No. 156
Final energy   -4.76 eV/atom
Energy relative to the elements   -0.07 eV per formula unit
Fermi-level density of states   1.15 states/eV/f.u.

---

Here is a relaxed AgPtAu2 crystal from Alexandria via LeMat-Bulk. Energies are from PBEsol.

a = 5.5409 Å, b = 5.5409 Å, c = 5.5409 Å
α = 150.06°, β = 128.79°, γ = 60.46°
Last column: nearest neighbours and their distance in Å.
Atoms (fractional coordinates):
Ag1 0.0000 0.0000 0.0000  4 Pt 2.79, 4 Au 2.82, 2 Ag 2.86
Pt1 0.5000 0.5000 0.0000  4 Au 2.76, 4 Ag 2.79, 2 Pt 2.86
Au1 0.2538 0.7538 0.5000  2 Pt 2.76, 6 Au 2.79-2.86, 2 Ag 2.82
Au2 0.7462 0.2462 0.5000  2 Pt 2.76, 6 Au 2.79-2.86, 2 Ag 2.82

Computed properties:
Excess energy over the best structure of this formula in the dataset   25 kJ/mol of formula units
SG   No. 71
Final energy   -4.48 eV/atom
Energy relative to the elements   0.20 eV per formula unit
Fermi-level density of states   1.45 states/eV/f.u.